Record 1
VASP calculation (GGA-PBE) on a relaxed structure of CrRhC.

abc: 4.4550 2.8135 10.6401
angles: 90.00 100.16 90.00
Closest atoms and distances in Å follow each position.
Sites, in units of the cell vectors:
Cr 0.1932 0.0000 0.0897  3 C 1.93
Cr 0.1932 0.5000 0.5897  3 C 1.93
Cr 0.2494 0.0000 0.8407  4 C 2.00-2.06
Cr 0.2494 0.5000 0.3407  4 C 2.00-2.06
C 0.4734 0.0000 0.2499  3 Cr 1.93-2.06, 3 Rh 2.05-2.07
C 0.4734 0.5000 0.7499  3 Cr 1.93-2.06, 3 Rh 2.05-2.07
C 0.2685 0.0000 0.4753  4 Cr 1.93-2.00, 1 Rh 2.14
C 0.2685 0.5000 0.9753  4 Cr 1.93-2.00, 1 Rh 2.14
Rh 0.7840 0.0000 0.4173  2 C 2.05-2.14
Rh 0.7840 0.5000 0.9173  2 C 2.05-2.14
Rh 0.7160 0.0000 0.6664  2 C 2.07
Rh 0.7160 0.5000 0.1664  2 C 2.07

## Properties
Total DFT energy (no corrections) (eV per atom): -8.549
Total moment (μB/f.u.): 0.6
Energy above the lowest structure with this stoichiometry (eV/atom): 0.119
ΔE_f (eV per atom): 0.184
Space-group type: No. 8
N(E_F) (states/eV/atom): 0.9359

Record 2
VASP calculation (GGA-PBE) on a relaxed structure of Mg2H2Br.

abc: 3.7531 3.7531 5.7423
angles: 70.93 70.93 90.00
Closest atoms and distances in Å follow each position.
Sites, in units of the cell vectors:
H 0.7500 0.2500 0.5000  4 Mg 2.10
H 0.2500 0.7500 0.5000  4 Mg 2.10
Mg 0.3429 0.3429 0.3142  4 H 2.10
Mg 0.6571 0.6571 0.6858  4 H 2.10
Br 0.0000 0.0000 0.0000  8 Mg 3.10, 8 H 3.16

## Properties
Total DFT energy (no corrections) (eV per atom): -2.626
Total moment (μB/f.u.): 0.0
Space-group type: No. 139
N(E_F) (states/eV/atom): 0.2672

Record 3
VASP calculation (GGA-PBE) on a relaxed structure of Mg2TlTe.

abc: 5.7827 5.7827 5.7827
angles: 138.76 120.14 75.29
Closest atoms and distances in Å follow each position.
Sites, in units of the cell vectors:
Mg 0.9892 0.9892 0.0000  2 Te 2.99, 2 Tl 3.14
Mg 0.5108 0.5108 0.0000  2 Te 2.99, 2 Tl 3.14
Te 0.7500 0.2500 0.5000  4 Mg 2.99
Tl 0.2500 0.7500 0.5000  4 Mg 3.14

## Properties
Total DFT energy (no corrections) (eV per atom): -2.342
Total moment (μB/f.u.): 0.0
Energy relative to the elements, uncorrected (eV per atom): -0.168
Energy above the lowest structure with this stoichiometry (eV/atom): 0.115
Space-group type: No. 71
N(E_F) (states/eV/atom): 0.5083

Record 4
VASP calculation (GGA-PBE) on a relaxed structure of Pr2Dy2Y2Er.

abc: 3.5292 6.1619 11.8754
angles: 72.06 90.00 106.64
Closest atoms and distances in Å follow each position.
Sites, in units of the cell vectors:
Pr 0.6726 0.3452 0.9132  5 Pr 3.53-3.93, 4 Y 3.55-3.65, 2 Dy 3.63
Pr 0.3274 0.6548 0.0868  5 Pr 3.53-3.93, 4 Y 3.55-3.65, 2 Dy 3.63
Dy 0.7712 0.5424 0.3663  3 Y 3.50-3.61, 4 Dy 3.52-3.53, 3 Er 3.55, 2 Pr 3.63
Dy 0.2288 0.4576 0.6337  3 Y 3.50-3.61, 4 Dy 3.52-3.53, 3 Er 3.55, 2 Pr 3.63
Y 0.4518 0.9037 0.7689  3 Dy 3.50-3.61, 2 Y 3.53, 2 Er 3.53, 4 Pr 3.55-3.65
Y 0.5482 0.0963 0.2311  3 Dy 3.50-3.61, 2 Y 3.53, 2 Er 3.53, 4 Pr 3.55-3.65
Er 0.0000 0.0000 0.5000  2 Er 3.53, 4 Y 3.53, 6 Dy 3.55

## Properties
Total DFT energy (no corrections) (eV per atom): -5.095
Total moment (μB/f.u.): 0.0
ΔE_f (eV per atom): 0.084
Space-group type: No. 12
N(E_F) (states/eV/atom): 1.6485

Record 5
VASP calculation (GGA-PBE) on a relaxed structure of CsAlOs2O8.

abc: 5.3560 5.3560 8.8626
angles: 90.00 90.00 120.00
Closest atoms and distances in Å follow each position.
Sites, in units of the cell vectors:
Cs 0.0000 0.0000 0.0000  6 O 3.24
Al 0.0000 0.0000 0.5000  6 O 1.91
Os 0.6667 0.3333 0.3117  4 O 1.78-1.82
Os 0.3333 0.6667 0.6883  4 O 1.78-1.82
O 0.3333 0.6667 0.8890  1 Os 1.78
O 0.3107 0.2573 0.3729  1 Os 1.82, 1 Al 1.91
O 0.7427 0.0534 0.3729  1 Os 1.82, 1 Al 1.91
O 0.6667 0.3333 0.1110  1 Os 1.78
O 0.2573 0.9466 0.6271  1 Os 1.82, 1 Al 1.91
O 0.6893 0.7427 0.6271  1 Os 1.82, 1 Al 1.91
O 0.0534 0.3107 0.6271  1 Os 1.82, 1 Al 1.91
O 0.9466 0.6893 0.3729  1 Os 1.82, 1 Al 1.91

## Properties
Total DFT energy (no corrections) (eV per atom): -6.929
Total moment (μB/f.u.): 4.0
Energy relative to the elements, uncorrected (eV per atom): -1.369
Space-group type: No. 147

Record 6
VASP calculation (GGA-PBE) on a relaxed structure of KLi2S2.

abc: 7.7251 7.7251 3.0063
angles: 90.00 90.00 90.00
Closest atoms and distances in Å follow each position.
Sites, in units of the cell vectors:
K 0.0000 0.0000 0.0000  2 K 3.01, 4 Li 3.07, 8 S 3.24
K 0.5000 0.5000 0.0000  2 K 3.01, 4 Li 3.07, 8 S 3.24
S 0.1681 0.6681 0.5000  6 Li 2.72-2.75, 2 S 3.01
S 0.6681 0.8319 0.5000  6 Li 2.72-2.75, 2 S 3.01
S 0.8319 0.3319 0.5000  6 Li 2.72-2.75, 2 S 3.01
S 0.3319 0.1681 0.5000  6 Li 2.72-2.75, 2 S 3.01
Li 0.3793 0.8793 0.0000  1 Li 2.64, 6 S 2.72-2.75
Li 0.8793 0.6207 0.0000  1 Li 2.64, 6 S 2.72-2.75
Li 0.6207 0.1207 0.0000  1 Li 2.64, 6 S 2.72-2.75
Li 0.1207 0.3793 0.0000  1 Li 2.64, 6 S 2.72-2.75

## Properties
Total DFT energy (no corrections) (eV per atom): -3.568
Total moment (μB/f.u.): 0.0
Energy relative to the elements, uncorrected (eV per atom): -0.932
Energy above the lowest structure with this stoichiometry (eV/atom): 0.082
Space-group type: No. 127
N(E_F) (states/eV/atom): 0.1091

Record 7
VASP calculation (GGA-PBE) on a relaxed structure of NaLi4Zn.

abc: 5.3576 7.0756 8.1959
angles: 115.57 107.59 90.00
Closest atoms and distances in Å follow each position.
Sites, in units of the cell vectors:
Na 0.2107 0.2128 0.4256  10 Li 3.13-3.47
Na 0.7893 0.7872 0.5744  10 Li 3.13-3.47
Li 0.8351 0.3357 0.6714  2 Zn 2.67-2.72
Li 0.6014 0.3213 0.2114  2 Zn 2.78-2.81, 4 Li 2.95-3.08
Li 0.0000 0.1896 0.0000  2 Zn 2.62, 1 Li 2.68
Li 0.3986 0.1099 0.7886  2 Zn 2.78-2.81, 4 Li 2.95-3.08
Li 0.1649 0.6643 0.3286  2 Zn 2.67-2.72
Li 0.3986 0.6787 0.7886  2 Zn 2.78-2.81, 4 Li 2.95-3.08
Li 0.0000 0.8104 0.0000  2 Zn 2.62, 1 Li 2.68
Li 0.6014 0.8901 0.2114  2 Zn 2.78-2.81, 4 Li 2.95-3.08
Zn 0.7363 0.5013 0.0026  1 Zn 2.52, 8 Li 2.62-2.81
Zn 0.2637 0.4987 0.9974  1 Zn 2.52, 8 Li 2.62-2.81

## Properties
Total DFT energy (no corrections) (eV per atom): -1.714
Total moment (μB/f.u.): 0.0
Energy above the lowest structure with this stoichiometry (eV/atom): 0.000
ΔE_f (eV per atom): -0.006
Space-group type: No. 12
N(E_F) (states/eV/atom): 0.5720

Record 8
VASP calculation (GGA-PBE) on a relaxed structure of Na3Ge2Pt3.

abc: 5.8046 7.8950 14.7359
angles: 90.00 90.00 90.00
Closest atoms and distances in Å follow each position.
Sites, in units of the cell vectors:
Na 0.1221 0.4851 0.3893  6 Pt 3.02-3.34, 3 Ge 3.04-3.19
Na 0.6221 0.0149 0.6107  6 Pt 3.02-3.34, 3 Ge 3.04-3.19
Na 0.8779 0.5149 0.8893  6 Pt 3.02-3.34, 3 Ge 3.04-3.19
Na 0.3779 0.9851 0.1107  6 Pt 3.02-3.34, 3 Ge 3.04-3.19
Na 0.8779 0.5149 0.6107  6 Pt 3.02-3.34, 3 Ge 3.04-3.19
Na 0.3779 0.9851 0.3893  6 Pt 3.02-3.34, 3 Ge 3.04-3.19
Na 0.1221 0.4851 0.1107  6 Pt 3.02-3.34, 3 Ge 3.04-3.19
Na 0.6221 0.0149 0.8893  6 Pt 3.02-3.34, 3 Ge 3.04-3.19
Na 0.5592 0.3201 0.2500  5 Pt 2.90-3.16, 2 Ge 3.22
Na 0.0592 0.1799 0.7500  5 Pt 2.90-3.16, 2 Ge 3.22
Na 0.4408 0.6799 0.7500  5 Pt 2.90-3.16, 2 Ge 3.22
Na 0.9408 0.8201 0.2500  5 Pt 2.90-3.16, 2 Ge 3.22
Ge 0.8843 0.1420 0.3993  4 Pt 2.42-2.50
Ge 0.3843 0.3580 0.6007  4 Pt 2.42-2.50
Ge 0.1157 0.8580 0.8993  4 Pt 2.42-2.50
Ge 0.6157 0.6420 0.1007  4 Pt 2.42-2.50
Ge 0.1157 0.8580 0.6007  4 Pt 2.42-2.50
Ge 0.6157 0.6420 0.3993  4 Pt 2.42-2.50
Ge 0.8843 0.1420 0.1007  4 Pt 2.42-2.50
Ge 0.3843 0.3580 0.8993  4 Pt 2.42-2.50
Pt 0.0508 0.1786 0.2500  2 Ge 2.42
Pt 0.5508 0.3214 0.7500  2 Ge 2.42
Pt 0.9492 0.8214 0.7500  2 Ge 2.42
Pt 0.4492 0.6786 0.2500  2 Ge 2.42
Pt 0.6137 0.3502 0.4574  3 Ge 2.43-2.50
Pt 0.1137 0.1498 0.5426  3 Ge 2.43-2.50
Pt 0.3863 0.6498 0.9574  3 Ge 2.43-2.50
Pt 0.8863 0.8502 0.0426  3 Ge 2.43-2.50
Pt 0.3863 0.6498 0.5426  3 Ge 2.43-2.50
Pt 0.8863 0.8502 0.4574  3 Ge 2.43-2.50
Pt 0.6137 0.3502 0.0426  3 Ge 2.43-2.50
Pt 0.1137 0.1498 0.9574  3 Ge 2.43-2.50

## Properties
Total DFT energy (no corrections) (eV per atom): -4.338
Total moment (μB/f.u.): 0.0
Energy above the lowest structure with this stoichiometry (eV/atom): 0.000
ΔE_f (eV per atom): -0.424
Space-group type: No. 62
N(E_F) (states/eV/atom): 0.3761

Record 9
VASP calculation (GGA-PBE) on a relaxed structure of ZrHg2.

abc: 5.7391 5.7391 5.7391
angles: 60.00 60.00 60.00
Closest atoms and distances in Å follow each position.
Sites, in units of the cell vectors:
Zr 0.0000 0.0000 0.0000  12 Hg 3.36, 4 Zr 3.51
Zr 0.2500 0.2500 0.2500  12 Hg 3.36, 4 Zr 3.51
Hg 0.6250 0.6250 0.6250  6 Hg 2.87
Hg 0.1250 0.6250 0.6250  6 Hg 2.87
Hg 0.6250 0.1250 0.6250  6 Hg 2.87
Hg 0.6250 0.6250 0.1250  6 Hg 2.87

## Properties
Total DFT energy (no corrections) (eV per atom): -2.917
Total moment (μB/f.u.): 0.8
ΔE_f (eV per atom): 0.134
Space-group type: No. 227
N(E_F) (states/eV/atom): 0.8060

Record 10
VASP calculation (GGA-PBE) on a relaxed structure of ThZnNiPt.

abc: 4.7527 4.7527 4.7527
angles: 60.00 60.00 60.00
Closest atoms and distances in Å follow each position.
Sites, in units of the cell vectors:
Ni 0.2500 0.2500 0.2500  4 Th 2.91, 4 Zn 2.91
Zn 0.5000 0.5000 0.5000  4 Ni 2.91, 4 Pt 2.91
Pt 0.7500 0.7500 0.7500  4 Th 2.91, 4 Zn 2.91
Th 0.0000 0.0000 0.0000  4 Pt 2.91, 4 Ni 2.91

## Properties
Total DFT energy (no corrections) (eV per atom): -5.683
Total moment (μB/f.u.): 0.0
Energy above the lowest structure with this stoichiometry (eV/atom): 0.165
ΔE_f (eV per atom): -0.554
Space-group type: No. 216
N(E_F) (states/eV/atom): 0.7802

Record 11
VASP calculation (GGA-PBE) on a relaxed structure of MgSiTe2I.

abc: 5.4968 5.4968 5.4702
angles: 90.00 90.00 90.00
Closest atoms and distances in Å follow each position.
Sites, in units of the cell vectors:
I 0.0000 0.0000 0.5000  2 Mg 2.74
Si 0.5000 0.5000 0.5000  8 Te 3.88, 4 I 3.89
Te 0.0000 0.5000 0.0000  2 Mg 2.75
Te 0.5000 0.0000 0.0000  2 Mg 2.75
Mg 0.0000 0.0000 0.0000  2 I 2.74, 4 Te 2.75

## Properties
Total DFT energy (no corrections) (eV per atom): -2.523
Total moment (μB/f.u.): 0.0
Energy relative to the elements, uncorrected (eV per atom): 0.447
Energy above the lowest structure with this stoichiometry (eV/atom): 0.255
Space-group type: No. 123
N(E_F) (states/eV/atom): 0.8160

Record 12
VASP calculation (GGA-PBE) on a relaxed structure of CrP2Ir.

abc: 3.5915 2.9418 5.1895
angles: 89.98 90.00 90.00
Closest atoms and distances in Å follow each position.
Sites, in units of the cell vectors:
Cr 0.5000 0.2500 0.2500  8 P 2.57
Ir 0.5000 0.7500 0.7500  4 P 2.34
P 0.0000 0.7505 0.0388  1 P 2.19, 2 Ir 2.34
P 0.0000 0.7495 0.4612  1 P 2.19, 2 Ir 2.34

## Properties
Total DFT energy (no corrections) (eV per atom): -7.387
Total moment (μB/f.u.): 1.9
Energy above the lowest structure with this stoichiometry (eV/atom): 0.271
ΔE_f (eV per atom): -0.061
Space-group type: No. 47
N(E_F) (states/eV/atom): 0.7487

Repeat the second record exactly.
VASP calculation (GGA-PBE) on a relaxed structure of Mg2H2Br.

abc: 3.7531 3.7531 5.7423
angles: 70.93 70.93 90.00
Closest atoms and distances in Å follow each position.
Sites, in units of the cell vectors:
H 0.7500 0.2500 0.5000  4 Mg 2.10
H 0.2500 0.7500 0.5000  4 Mg 2.10
Mg 0.3429 0.3429 0.3142  4 H 2.10
Mg 0.6571 0.6571 0.6858  4 H 2.10
Br 0.0000 0.0000 0.0000  8 Mg 3.10, 8 H 3.16

## Properties
Total DFT energy (no corrections) (eV per atom): -2.626
Total moment (μB/f.u.): 0.0
Space-group type: No. 139
N(E_F) (states/eV/atom): 0.2672